Density functional theory data (PBE-GGA) for a relaxed structure of Li5Ag2Sn2.

Structure (CIF):
```
data_Li5Ag2Sn2
_cell_length_a 15.378
_cell_length_b 7.156
_cell_length_c 6.362
_cell_angle_alpha 90.00
_cell_angle_beta 90.00
_cell_angle_gamma 90.00
_symmetry_space_group_name_H-M 'C m c e'
_symmetry_Int_Tables_number 64
_symmetry_space_group_name_Hall '-C 2ac 2'
loop_
_atom_site_label
_atom_site_fract_x
_atom_site_fract_y
_atom_site_fract_z
_atom_site_occupancy
Li1 0.000 0.000 0.000 1
Li2 0.129 0.182 0.321 1
Ag1 0.000 0.152 0.625 1
Sn1 0.227 0.000 0.000 1
```

Formation enthalpy at 0 K: -169.9 meV/atom

Density functional theory data (PBE-GGA) for a relaxed structure of LiTi3SbP6O24.

Structure (CIF):
```
data_LiTi3SbP6O24
_cell_length_a 8.6419
_cell_length_b 8.6419
_cell_length_c 21.5372
_cell_angle_alpha 90.00
_cell_angle_beta 90.00
_cell_angle_gamma 120.00
_symmetry_space_group_name_H-M 'R 3'
_symmetry_Int_Tables_number 146
_symmetry_space_group_name_Hall 'R 3'
loop_
_atom_site_label
_atom_site_fract_x
_atom_site_fract_y
_atom_site_fract_z
_atom_site_occupancy
Li1 0.0000 0.0000 0.0000 1
Ti1 0.0000 0.0000 0.1348 1
Ti2 0.0000 0.0000 0.3525 1
Ti3 0.0000 0.0000 0.6275 1
Sb1 0.0000 0.0000 0.8471 1
P1 0.0046 0.2903 0.7379 1
P2 0.0498 0.6701 0.9085 1
O1 0.0020 0.8134 0.1818 1
O2 0.0231 0.8383 0.9084 1
O3 0.0256 0.1938 0.6824 1
O4 0.0291 0.1972 0.4018 1
O5 0.1443 0.4640 0.4672 1
O6 0.1626 0.6941 0.9657 1
O7 0.1650 0.6968 0.2442 1
O8 0.1701 0.4798 0.7407 1
```

E_form (uncorrected): -2.370 eV/atom

Density functional theory data (PBE-GGA) for a relaxed structure of KIn2NiSb.

Structure (CIF):
```
data_KIn2NiSb
_cell_length_a 5.072
_cell_length_b 5.072
_cell_length_c 5.285
_cell_angle_alpha 90.00
_cell_angle_beta 90.00
_cell_angle_gamma 90.00
_symmetry_space_group_name_H-M 'P 4/m m m'
_symmetry_Int_Tables_number 123
_symmetry_space_group_name_Hall '-P 4 2'
loop_
_atom_site_label
_atom_site_fract_x
_atom_site_fract_y
_atom_site_fract_z
_atom_site_occupancy
K1 0.000 0.000 0.000 1
In1 0.000 0.500 0.500 1
Ni1 0.500 0.500 0.500 1
Sb1 0.500 0.500 0.000 1
```

E_form (uncorrected): -0.074 eV/atom

Density functional theory data (PBE-GGA) for a relaxed structure of LiYBe.

Structure (CIF):
```
data_LiYBe
_cell_length_a 4.5696
_cell_length_b 4.5696
_cell_length_c 3.1187
_cell_angle_alpha 90.00
_cell_angle_beta 90.00
_cell_angle_gamma 120.00
_symmetry_space_group_name_H-M 'P 3 m 1'
_symmetry_Int_Tables_number 156
_symmetry_space_group_name_Hall 'P 3 -2"'
loop_
_atom_site_label
_atom_site_fract_x
_atom_site_fract_y
_atom_site_fract_z
_atom_site_occupancy
Li1 0.0000 0.0000 0.0000 1
Y1 0.3333 0.6667 0.5007 1
Be1 0.6667 0.3333 0.0023 1
```

Formation enthalpy at 0 K: 246.3 meV/atom
Polymorph energy (0 for the lowest one): 0.00 eV per formula unit

Density functional theory data (PBE-GGA) for a relaxed structure of PrNd5Tl4.

Structure (CIF):
```
data_PrNd5Tl4
_cell_length_a 3.683
_cell_length_b 3.683
_cell_length_c 22.820
_cell_angle_alpha 90.00
_cell_angle_beta 90.00
_cell_angle_gamma 90.00
_symmetry_space_group_name_H-M 'P 4/m m m'
_symmetry_Int_Tables_number 123
_symmetry_space_group_name_Hall '-P 4 2'
loop_
_atom_site_label
_atom_site_fract_x
_atom_site_fract_y
_atom_site_fract_z
_atom_site_occupancy
Pr1 0.000 0.000 0.000 1
Nd1 0.500 0.500 0.116 1
Nd2 0.500 0.500 0.308 1
Nd3 0.500 0.500 0.500 1
Tl1 0.000 0.000 0.211 1
Tl2 0.000 0.000 0.404 1
```

Formation enthalpy at 0 K: -302.1 meV/atom
Polymorph energy (0 for the lowest one): 0.00 eV per formula unit

Density functional theory data (PBE-GGA) for a relaxed structure of Sr3NpO6.

Structure (CIF):
```
data_Sr3NpO6
_cell_length_a 10.1431
_cell_length_b 10.1431
_cell_length_c 11.9480
_cell_angle_alpha 90.00
_cell_angle_beta 90.00
_cell_angle_gamma 120.00
_symmetry_space_group_name_H-M 'R -3'
_symmetry_Int_Tables_number 148
_symmetry_space_group_name_Hall '-R 3'
loop_
_atom_site_label
_atom_site_fract_x
_atom_site_fract_y
_atom_site_fract_z
_atom_site_occupancy
Sr1 0.0380 0.2674 0.2101 1
Np1 0.0000 0.0000 0.0000 1
Np2 0.0000 0.0000 0.5000 1
O1 0.0257 0.1749 0.8938 1
O2 0.0299 0.1890 0.4079 1
```

E_form (uncorrected): -3.011 eV/atom